# P2SNCl, optimized geometry, DFT GGA-PBEsol
# DOS(E_F): 4.12 states/eV/cell
# total magnetic moment: 0.000 μB/atom
# raw formation energy: 544 kJ/mol of formula units
data_P2SNCl
_chemical_formula_sum 'P2 S1 N1 Cl1'
_cell_length_a 4.230
_cell_length_b 4.230
_cell_length_c 3.994
_cell_angle_alpha 90.00
_cell_angle_beta 90.00
_cell_angle_gamma 90.00
_space_group_name_H-M_alt 'P 4/m m m'
_space_group_IT_number 123
_space_group_name_Hall '-P 4 2'
loop_
_atom_site_label
_atom_site_fract_x
_atom_site_fract_y
_atom_site_fract_z
P1 0.000 0.500 0.000
S1 0.000 0.000 0.500
N1 0.500 0.500 0.000
Cl1 0.500 0.500 0.500

=====

# KTe2Cl, optimized geometry, DFT GGA-PBEsol
# DOS(E_F): 5.01 states/eV/cell
# total magnetic moment: 0.002 μB/atom
# raw formation energy: -158 kJ/mol of formula units
data_KTe2Cl
_chemical_formula_sum 'K1 Te2 Cl1'
_cell_length_a 4.723
_cell_length_b 4.723
_cell_length_c 5.916
_cell_angle_alpha 90.00
_cell_angle_beta 90.00
_cell_angle_gamma 90.00
_space_group_name_H-M_alt 'P 4/m m m'
_space_group_IT_number 123
_space_group_name_Hall '-P 4 2'
loop_
_atom_site_label
_atom_site_fract_x
_atom_site_fract_y
_atom_site_fract_z
K1 0.000 0.000 0.000
Te1 0.500 0.500 0.224
Cl1 0.000 0.000 0.500

=====

# Mg4ScIn, optimized geometry, DFT GGA-PBEsol
# DOS(E_F): 15.65 states/eV/cell
# E_form: 6 kJ per mole of atoms
# total magnetic moment: 0.000 μB/atom
data_Mg4ScIn
_chemical_formula_sum 'Mg16 Sc4 In4'
_cell_length_a 8.193
_cell_length_b 8.193
_cell_length_c 8.193
_cell_angle_alpha 90.00
_cell_angle_beta 90.00
_cell_angle_gamma 90.00
_space_group_name_H-M_alt 'F -4 3 m'
_space_group_IT_number 216
_space_group_name_Hall 'F -4 2 3'
loop_
_atom_site_label
_atom_site_fract_x
_atom_site_fract_y
_atom_site_fract_z
Mg1 0.125 0.125 0.125
Sc1 0.250 0.250 0.750
In1 0.000 0.000 0.500